Material: TbCrP2O8
Method: DFT, PBE+U
State: optimized geometry

abc: 5.1088 5.1088 6.5503
angles: 90.00 90.00 120.00
Positions (direct):
Tb1 0.0000 0.0000 0.0000
Cr1 0.0000 0.0000 0.5000
P1 0.3333 0.6667 0.2233
P2 0.6667 0.3333 0.7767
O1 0.1670 0.3339 0.2965
O2 0.1670 0.8330 0.2965
O3 0.3333 0.6667 0.9900
O4 0.3339 0.1670 0.7035
O5 0.6661 0.8330 0.2965
O6 0.6667 0.3333 0.0100
O7 0.8330 0.1670 0.7035
O8 0.8330 0.6661 0.7035

Space group: No. 164
Crystal system: trigonal
Total moment: 2.97 μB per cell
Volume: 12.3 A^3/atom
Mass density: 4.50 g cm⁻³
Electronic total energy: -7.710 eV/atom